Material: CuHPt2Cl
Method: DFT, GGA-PBE
State: optimized geometry

Structure (CIF):
```
data_CuHPt2Cl
_cell_length_a 4.743
_cell_length_b 4.454
_cell_length_c 4.743
_cell_angle_alpha 90.00
_cell_angle_beta 90.00
_cell_angle_gamma 90.00
_symmetry_space_group_name_H-M 'P 1'
_symmetry_Int_Tables_number 1
loop_
_symmetry_equiv_pos_as_xyz
'x,y,z'
loop_
_atom_site_label
_atom_site_type_symbol
_atom_site_fract_x
_atom_site_fract_y
_atom_site_fract_z
_atom_site_occupancy
H1 H 0.500 0.500 0.500 1
Cl1 Cl 0.000 0.500 0.000 1
Pt1 Pt 0.000 0.000 0.500 1
Pt2 Pt 0.500 0.000 0.000 1
Cu1 Cu 0.000 0.000 0.000 1
```

Results
* crystal system: tetragonal
* DFT total energy: -2.8772 eV per atom